[1]
CeMg2RhAu after structural relaxation. Source: Alexandria via LeMat-Bulk, functional GGA-PBE.

Structure (POSCAR):
```
CeMg2RhAu
1.0
4.8961 0.0000 0.0000
0.0000 4.8961 0.0000
0.0000 0.0000 5.3465
Ce Mg Rh Au
1 2 1 1
Cartesian
0.0000 0.0000 0.0000 Ce
0.0000 2.4480 2.3589 Mg
2.4480 0.0000 2.3589 Mg
0.0000 0.0000 3.0088 Rh
2.4480 2.4480 0.7773 Au
```

Properties
Its energy of formation is -0.34 eV/atom. As for the total magnetization: 0.5 μB/f.u. As for the density of states at the Fermi level: 6.10 states/eV/cell. As for the total energy: -4.2877 eV per atom. Its space group is P4mm (99).

***

[2]
Ag2GeAu2 after structural relaxation. Source: Alexandria via LeMat-Bulk, functional GGA-PBE.

Structure (POSCAR):
```
Ag2GeAu2
1.0
6.8879 0.0000 0.0000
0.0000 6.8879 0.0000
0.0000 0.0000 4.0901
Ag Ge Au
4 2 4
Cartesian
1.0595 2.3845 0.0000 Ag
2.3845 5.8284 0.0000 Ag
4.5034 1.0595 0.0000 Ag
5.8284 4.5034 0.0000 Ag
0.0000 0.0000 2.0451 Ge
3.4439 3.4439 2.0451 Ge
1.0230 4.4669 2.0451 Au
2.4210 1.0230 2.0451 Au
4.4669 5.8649 2.0451 Au
5.8649 2.4210 2.0451 Au
```

Properties
Its energy of formation is 0.09 eV/atom. The value obtained for the offset from the most stable computed form is 0.064 eV per atom. As for the total magnetization: 0.0 μB/f.u. As for the density of states at the Fermi level: 2.75 states/eV/cell. As for the total energy: -3.2815 eV per atom. Its space group is P4/mbm (127).

***

[3]
PrHoPd2 after structural relaxation. Source: Alexandria via LeMat-Bulk, functional GGA-PBE.

Structure (POSCAR):
```
PrHoPd2
1.0
3.4992 0.0000 0.0000
0.0000 3.4992 0.0000
0.0000 0.0000 7.4021
Pr Ho Pd
1 1 2
Cartesian
0.0000 0.0000 0.0000 Pr
0.0000 0.0000 3.7010 Ho
1.7496 1.7496 2.0445 Pd
1.7496 1.7496 5.3575 Pd
```

Properties
Its energy of formation is -0.80 eV/atom. The value obtained for the offset from the most stable computed form is 0.042 eV per atom. As for the total magnetization: 0.0 μB/f.u. As for the density of states at the Fermi level: 3.08 states/eV/cell. As for the total energy: -5.7397 eV per atom. Its space group is P4/mmm (123).

***

[4]
TiCrSiOs after structural relaxation. Source: Alexandria via LeMat-Bulk, functional GGA-PBE.

Structure (POSCAR):
```
TiCrSiOs
1.0
0.0000 2.9961 2.9961
2.9961 0.0000 2.9961
2.9961 2.9961 0.0000
Ti Cr Si Os
1 1 1 1
Cartesian
0.0000 0.0000 0.0000 Ti
1.4980 1.4980 1.4980 Cr
2.9961 2.9961 2.9961 Si
4.4941 4.4941 4.4941 Os
```

Properties
As for the formation energy without anion corrections: -43.3 kJ/mol of atoms. As for the total magnetization: 2.0 μB/f.u. As for the density of states at the Fermi level: 3.44 states/eV/cell. As for the total energy: -8.9916 eV per atom. Its space group is F-43m (216).

***

[5]
ZnIO5 after structural relaxation. Source: Alexandria via LeMat-Bulk, functional GGA-PBE.

Structure (POSCAR):
```
ZnIO5
1.0
4.2920 -3.0516 0.0000
4.2920 3.0516 0.0000
-3.4144 0.0000 6.7857
Zn I O
2 2 10
Cartesian
1.7312 2.9249 5.0893 Zn
3.4384 -2.9249 1.6964 Zn
4.2920 0.0000 0.0000 I
2.5848 0.0000 3.3929 I
3.8863 1.8025 0.2249 O
1.0150 0.2968 2.4745 O
2.9905 1.8025 3.1679 O
-0.6922 -0.2968 5.8674 O
1.7312 0.6903 5.0893 O
3.4384 -0.6903 1.6964 O
5.8617 0.2968 0.9183 O
2.1791 -1.8025 3.6178 O
4.1545 -0.2968 4.3112 O
1.2833 -1.8025 6.5608 O
```

Properties
As for the formation energy without anion corrections: -25.1 kJ/mol of atoms. As for the total magnetization: 1.0 μB/f.u. As for the density of states at the Fermi level: 3.67 states/eV/cell. As for the total energy: -4.2048 eV per atom. Its space group is C2/c (15).

***

[6]
Zr3TiCu2 after structural relaxation. Source: Alexandria via LeMat-Bulk, functional GGA-PBE.

Structure (POSCAR):
```
Zr3TiCu2
1.0
3.1233 0.0000 0.0000
0.0000 3.1233 0.0000
0.0000 0.0000 11.3494
Zr Ti Cu
3 1 2
Cartesian
0.0000 0.0000 0.0000 Zr
0.0000 0.0000 3.6293 Zr
0.0000 0.0000 7.7201 Zr
1.5616 1.5616 5.6747 Ti
1.5616 1.5616 1.8060 Cu
1.5616 1.5616 9.5434 Cu
```

Properties
Its energy of formation is -0.08 eV/atom. The value obtained for the offset from the most stable computed form is 0.041 eV per atom. As for the total magnetization: 0.0 μB/f.u. As for the density of states at the Fermi level: 5.39 states/eV/cell. As for the total energy: -7.0315 eV per atom. Its space group is P4/mmm (123).